Crystalline Tb3HfN4 at its relaxed geometry. Source: the Alexandria database, functional GGA-PBE.

Summary:
The symmetry is Pm-3m (221). As for the density of states at the Fermi level: 0.215 states/eV/atom. The final energy is -8.784 eV/atom. The energy above the most stable polymorph in this dataset is 80 meV per atom.

Structure (POSCAR):
```
Tb3HfN4
1.0
4.833 0.000 0.000
0.000 4.833 0.000
0.000 0.000 4.833
Tb Hf N
3 1 4
Cartesian
0.000 0.000 2.417
0.000 2.417 0.000
2.417 0.000 0.000
2.417 2.417 2.417
0.000 0.000 0.000
0.000 2.417 2.417
2.417 0.000 2.417
2.417 2.417 0.000
```

=====

Crystalline TbHf5N6 at its relaxed geometry. Source: the Alexandria database, functional GGA-PBE.

Summary:
The symmetry is C2/m (12). As for the density of states at the Fermi level: 0.378 states/eV/atom. The final energy is -10.434 eV/atom.

Structure (POSCAR):
```
TbHf5N6
1.0
2.810 -4.873 0.000
2.810 4.873 0.000
-1.860 0.000 5.317
Tb Hf N
1 5 6
Cartesian
0.000 0.000 0.000
1.880 3.259 2.659
2.810 1.625 0.000
1.880 0.000 2.659
2.810 -1.625 0.000
1.880 -3.259 2.659
0.974 1.680 1.384
0.079 0.000 3.955
0.974 -1.680 1.384
2.786 1.680 3.933
3.681 0.000 1.362
2.786 -1.680 3.933
```

=====

Crystalline TbHf2N4 at its relaxed geometry. Source: the Alexandria database, functional GGA-PBE.

Summary:
The symmetry is Cmcm (63). As for the density of states at the Fermi level: 0.434 states/eV/atom. The final energy is -9.740 eV/atom.

Structure (POSCAR):
```
TbHf2N4
1.0
1.612 -5.350 0.000
1.612 5.350 0.000
0.000 0.000 10.424
Tb Hf N
2 4 8
Cartesian
1.612 4.180 7.818
1.612 -4.180 2.606
1.612 1.412 5.933
1.612 1.412 9.704
1.612 -1.412 0.720
1.612 -1.412 4.492
0.000 0.000 0.000
0.000 0.000 5.212
1.612 2.523 1.196
1.612 2.523 4.016
1.612 0.499 7.818
1.612 -0.499 2.606
1.612 -2.523 6.408
1.612 -2.523 9.229
```

=====

Crystalline Tb2HfTe2N2 at its relaxed geometry. Source: the Alexandria database, functional GGA-PBE.

Summary:
The symmetry is I4/mmm (139). The final energy is -7.490 eV/atom.

Structure (POSCAR):
```
Tb2HfTe2N2
1.0
-2.099 2.099 8.754
2.099 -2.099 8.754
2.099 2.099 -8.754
Tb Hf Te N
2 1 2 2
Cartesian
0.000 0.000 1.625
0.000 0.000 15.883
0.000 0.000 8.754
0.000 0.000 5.757
0.000 0.000 11.752
2.099 0.000 0.000
0.000 2.099 0.000
```

=====

Crystalline TbHfTh2N4 at its relaxed geometry. Source: the Alexandria database, functional GGA-PBE.

Summary:
The symmetry is P2/m (10). As for the density of states at the Fermi level: 0.376 states/eV/atom. The final energy is -9.434 eV/atom.

Structure (POSCAR):
```
TbHfTh2N4
1.0
6.031 0.000 0.000
0.000 3.458 0.000
-1.984 0.000 5.804
Tb Hf Th N
1 1 2 4
Cartesian
0.000 0.000 0.000
3.015 1.729 0.000
-0.992 1.729 2.902
2.024 0.000 2.902
1.130 1.729 1.321
0.117 0.000 4.533
3.930 0.000 1.271
2.917 1.729 4.483
```

=====

Crystalline Tb2HfThN4 at its relaxed geometry. Source: the Alexandria database, functional GGA-PBE.

Summary:
The symmetry is P2/m (10). As for the density of states at the Fermi level: 0.345 states/eV/atom. The final energy is -9.119 eV/atom.

Structure (POSCAR):
```
Tb2HfThN4
1.0
5.975 0.000 0.000
0.000 3.459 0.000
-1.979 0.000 5.705
Tb Hf Th N
2 1 1 4
Cartesian
0.000 0.000 0.000
-0.990 1.730 2.853
1.998 0.000 2.853
2.988 1.730 0.000
0.116 0.000 4.170
1.080 1.730 1.559
2.916 1.730 4.147
3.880 0.000 1.536
```

=====

These records have density values of 10.462 12.948 10.565 8.388 11.763 11.044 g cm⁻³, in the order they appear.
These records have magnetic moment values of 0.000 0.000 0.000 0.000 0.000 0.000 μB/atom, in the order they appear.
These records have energy relative to the elements, uncorrected values of -1640.4 -1737.8 -1477.1 -1468.7 -1593.6 -1627.1 meV/atom, in the order they appear.